# 1
HfTl3H: optimized geometry, PBE.

abc: 5.716 5.716 5.716
angles: 90.00 90.00 90.00
Space group Pm-3m (No. 221)
Unique sites:
Hf: 0.000 0.000 0.000 (multiplicity 1)
Tl: 0.000 0.000 0.500 (multiplicity 3)
H: 0.500 0.500 0.500 (multiplicity 1)

Calculated values
Energy above the lowest structure with this stoichiometry (kJ per mole of atoms): 53.7
Magnetization (μB/f.u.): 0.92
N(E_F) (states/eV/f.u.): 5.630

=====

# 2
TiI3O: optimized geometry, PBE.

abc: 5.439 5.439 5.439
angles: 90.00 90.00 90.00
Space group Pm-3m (No. 221)
Unique sites:
Ti: 0.000 0.000 0.000 (multiplicity 1)
I: 0.000 0.000 0.500 (multiplicity 3)
O: 0.500 0.500 0.500 (multiplicity 1)

Calculated values
Energy relative to the elements, uncorrected (eV/f.u.): 1.54
Magnetization (μB/f.u.): 0.00
N(E_F) (states/eV/f.u.): 25.914

=====

# 3
MgSc6Cd: optimized geometry, PBE.

abc: 6.011 10.562 5.915
angles: 90.00 90.06 90.00
Space group C2/m (No. 12)
Unique sites:
Mg: 0.000 0.000 0.000 (multiplicity 2)
Sc: 0.058 0.500 0.750 (multiplicity 4)
Sc: 0.207 0.219 0.750 (multiplicity 8)
Cd: 0.000 0.000 0.500 (multiplicity 2)

Calculated values
Energy above the lowest structure with this stoichiometry (kJ per mole of atoms): 10.0
Magnetization (μB/f.u.): 0.00
N(E_F) (states/eV/f.u.): 9.651

=====

# 4
Sc5C: optimized geometry, PBE.

abc: 11.090 3.204 7.227
angles: 90.00 100.55 90.00
Space group Cm (No. 8)
Unique sites:
Sc: 0.000 0.000 0.000 (multiplicity 2)
Sc: 0.089 0.000 0.404 (multiplicity 2)
Sc: 0.188 0.500 0.811 (multiplicity 2)
Sc: 0.283 0.000 0.181 (multiplicity 2)
Sc: 0.392 0.000 0.613 (multiplicity 2)
C: 0.136 0.500 0.117 (multiplicity 2)

Calculated values
Energy above the lowest structure with this stoichiometry (kJ per mole of atoms): 0.0
Magnetization (μB/f.u.): 0.57
N(E_F) (states/eV/f.u.): 8.178